[1]
Here is an optimized crystal structure of Sm4Te3Pb from Alexandria via LeMat-Bulk. Energies are from PBE.

Cell and atoms, written as POSCAR:
```
Sm4Te3Pb
1.0
8.936 0.000 0.000
0.000 12.653 0.000
0.000 0.000 4.481
Sm Te Pb
8 6 2
Cartesian
0.000 3.119 0.000
0.000 9.534 0.000
2.187 0.000 2.240
2.281 6.327 2.240
4.468 3.207 0.000
4.468 9.446 0.000
6.654 6.327 2.240
6.749 0.000 2.240
0.000 6.327 0.000
2.234 3.163 2.240
2.234 9.490 2.240
4.468 0.000 0.000
6.702 3.163 2.240
6.702 9.490 2.240
0.000 0.000 0.000
4.468 6.327 0.000
```

Computed properties:
* formation energy from raw total energies: -1.22 eV/atom
* space group: No. 65
* polymorph energy (0 for the lowest one): 0.014 eV per atom

---

[2]
Here is an optimized crystal structure of Sm6Te4Pb from Alexandria via LeMat-Bulk. Energies are from PBE.

Cell and atoms, written as POSCAR:
```
Sm6Te4Pb
1.0
2.205 -7.134 0.000
2.205 7.134 0.000
0.000 0.000 22.290
Sm Te Pb
12 8 2
Cartesian
0.000 0.000 0.000
0.000 0.000 11.145
2.205 4.702 16.718
2.205 3.326 2.310
2.205 3.326 8.835
2.205 0.847 14.866
2.205 0.847 18.570
2.205 -0.847 3.721
2.205 -0.847 7.425
2.205 -3.326 13.455
2.205 -3.326 19.981
2.205 -4.702 5.573
2.205 5.959 13.964
2.205 5.959 19.471
2.205 2.089 11.947
2.205 2.089 21.489
2.205 -2.089 0.801
2.205 -2.089 10.344
2.205 -5.959 2.819
2.205 -5.959 8.326
2.205 4.716 5.573
2.205 -4.716 16.718
```

Computed properties:
* formation energy from raw total energies: -1.11 eV/atom
* space group: No. 63

---

[3]
Here is an optimized crystal structure of Sm5TePb4 from Alexandria via LeMat-Bulk. Energies are from PBE.

Cell and atoms, written as POSCAR:
```
Sm5TePb4
1.0
-5.047 5.047 3.186
5.047 -5.047 3.186
5.047 5.047 -3.186
Sm Te Pb
5 1 4
Cartesian
0.000 0.000 0.000
6.029 2.051 0.000
2.051 4.065 0.000
2.996 0.982 3.186
-0.982 2.996 3.186
0.000 0.000 3.186
3.025 1.020 0.000
4.028 -2.022 3.186
1.020 7.070 0.000
2.022 4.028 3.186
```

Computed properties:
* formation energy from raw total energies: -0.66 eV/atom
* space group: No. 87

---

[4]
Here is an optimized crystal structure of Sm4Te2Pb from Alexandria via LeMat-Bulk. Energies are from PBE.

Cell and atoms, written as POSCAR:
```
Sm4Te2Pb
1.0
0.000 6.945 6.954
4.797 0.000 6.954
4.797 6.945 0.000
Sm Te Pb
8 4 2
Cartesian
3.022 3.045 3.045
6.573 6.517 6.522
4.174 7.372 3.045
4.174 3.045 7.387
5.421 10.844 6.522
5.421 6.517 10.864
3.022 7.372 7.387
6.573 10.844 10.864
0.000 0.000 0.000
2.399 3.472 0.000
2.399 0.000 3.477
0.000 3.472 3.477
3.598 5.208 5.216
5.997 8.681 8.693
```

Computed properties:
* formation energy from raw total energies: -0.89 eV/atom
* space group: No. 70

---

[5]
Here is an optimized crystal structure of SmTe2Pb from Alexandria via LeMat-Bulk. Energies are from PBE.

Cell and atoms, written as POSCAR:
```
SmTe2Pb
1.0
3.940 0.000 0.000
0.000 3.940 0.000
0.000 0.000 7.784
Sm Te Pb
1 2 1
Cartesian
0.000 0.000 0.000
1.970 1.970 1.777
1.970 1.970 6.007
0.000 0.000 3.892
```

Computed properties:
* formation energy from raw total energies: -0.80 eV/atom
* space group: No. 123

---

[6]
Here is an optimized crystal structure of Sm3TePb2 from Alexandria via LeMat-Bulk. Energies are from PBE.

Cell and atoms, written as POSCAR:
```
Sm3TePb2
1.0
4.440 0.000 0.000
0.000 6.372 0.000
0.000 0.000 13.688
Sm Te Pb
6 2 4
Cartesian
0.000 0.000 0.000
0.000 0.000 4.578
0.000 0.000 9.110
2.220 3.186 2.266
2.220 3.186 6.844
2.220 3.186 11.422
0.000 3.186 0.000
2.220 0.000 6.844
0.000 3.186 4.588
0.000 3.186 9.100
2.220 0.000 2.256
2.220 0.000 11.433
```

Computed properties:
* formation energy from raw total energies: -0.82 eV/atom
* space group: No. 71

---

[7]
Here is an optimized crystal structure of Sm5Te4Pb from Alexandria via LeMat-Bulk. Energies are from PBE.

Cell and atoms, written as POSCAR:
```
Sm5Te4Pb
1.0
-5.000 5.000 3.151
5.000 -5.000 3.151
5.000 5.000 -3.151
Sm Te Pb
5 4 1
Cartesian
0.000 0.000 0.000
5.996 2.036 0.000
2.036 4.003 0.000
2.963 0.997 3.151
-0.997 2.963 3.151
3.010 0.988 0.000
4.011 -1.990 3.151
0.988 6.989 0.000
1.990 4.011 3.151
0.000 0.000 3.151
```

Computed properties:
* formation energy from raw total energies: -1.26 eV/atom
* space group: No. 87

---

[8]
Here is an optimized crystal structure of SmTe2Pb from Alexandria via LeMat-Bulk. Energies are from PBE.

Cell and atoms, written as POSCAR:
```
SmTe2Pb
1.0
4.348 0.000 0.000
-2.174 3.766 0.000
0.000 0.000 24.572
Sm Te Pb
3 6 3
Cartesian
0.000 0.000 0.000
0.000 2.510 16.381
2.174 1.255 8.191
0.000 0.000 14.419
0.000 0.000 18.350
0.000 2.510 6.229
0.000 2.510 10.160
2.174 1.255 1.969
2.174 1.255 22.610
0.000 0.000 4.038
0.000 2.510 20.419
2.174 1.255 12.228
```

Computed properties:
* formation energy from raw total energies: -0.83 eV/atom
* space group: No. 160

---

[9]
Here is an optimized crystal structure of SmTe7Pb5 from Alexandria via LeMat-Bulk. Energies are from PBE.

Cell and atoms, written as POSCAR:
```
SmTe7Pb5
1.0
7.747 -2.266 0.000
7.747 2.266 0.000
-0.154 0.000 26.660
Sm Te Pb
2 14 10
Cartesian
0.000 0.000 0.000
9.200 0.000 13.334
0.167 0.000 11.242
2.337 0.000 20.692
2.840 0.000 5.275
3.662 0.000 12.909
5.547 0.000 26.196
6.639 0.000 18.768
7.121 0.000 7.265
9.368 0.000 25.003
9.775 0.000 1.183
10.647 0.000 16.336
11.420 0.000 9.176
13.560 0.000 22.578
14.313 0.000 3.003
15.139 0.000 14.847
1.038 0.000 17.625
1.517 0.000 8.400
3.861 0.000 23.577
4.454 0.000 2.349
5.139 0.000 15.597
5.618 0.000 10.459
7.993 0.000 21.536
8.492 0.000 4.507
12.269 0.000 19.706
12.699 0.000 6.388
```

Computed properties:
* formation energy from raw total energies: -0.54 eV/atom
* space group: No. 8

---

[10]
Here is an optimized crystal structure of Sm8Te3Pb2 from Alexandria via LeMat-Bulk. Energies are from PBE.

Cell and atoms, written as POSCAR:
```
Sm8Te3Pb2
1.0
7.507 -4.255 0.000
7.507 4.255 0.000
-1.113 0.000 7.038
Sm Te Pb
8 3 2
Cartesian
0.940 0.000 2.581
5.632 2.418 0.835
8.268 2.418 6.203
4.481 0.000 4.484
9.419 0.000 2.554
5.632 -2.418 0.835
8.268 -2.418 6.203
12.960 0.000 4.457
6.950 1.753 3.519
7.507 0.000 0.000
6.950 -1.753 3.519
3.650 0.000 1.170
10.250 0.000 5.868
```

Computed properties:
* formation energy from raw total energies: -0.61 eV/atom
* space group: No. 12

---

[11]
Here is an optimized crystal structure of Sm4TePb3 from Alexandria via LeMat-Bulk. Energies are from PBE.

Cell and atoms, written as POSCAR:
```
Sm4TePb3
1.0
9.380 0.000 0.000
0.000 12.749 0.000
0.000 0.000 4.333
Sm Te Pb
8 2 6
Cartesian
0.000 3.170 0.000
0.000 9.579 0.000
2.320 0.000 2.167
2.370 6.374 2.167
4.690 3.204 0.000
4.690 9.544 0.000
7.009 6.374 2.167
7.060 0.000 2.167
0.000 0.000 0.000
4.690 6.374 0.000
0.000 6.374 0.000
2.345 3.187 2.167
2.345 9.562 2.167
4.690 0.000 0.000
7.035 3.187 2.167
7.035 9.562 2.167
```

Computed properties:
* formation energy from raw total energies: -0.71 eV/atom
* space group: No. 65

---

[12]
Here is an optimized crystal structure of SmTePb from Alexandria via LeMat-Bulk. Energies are from PBE.

Cell and atoms, written as POSCAR:
```
SmTePb
1.0
8.955 0.000 0.000
-4.478 7.755 0.000
0.000 0.000 4.079
Sm Te Pb
3 3 3
Cartesian
0.000 0.000 0.000
0.000 5.170 2.040
4.478 2.585 2.040
-3.283 5.686 2.040
1.195 2.070 2.040
6.565 0.000 2.040
-1.959 3.393 0.000
3.918 0.000 0.000
2.518 4.362 0.000
```

Computed properties:
* formation energy from raw total energies: -0.65 eV/atom
* space group: No. 189

---

[13]
Here is an optimized crystal structure of SmTe2Pb from Alexandria via LeMat-Bulk. Energies are from PBE.

Cell and atoms, written as POSCAR:
```
SmTe2Pb
1.0
4.441 0.000 0.000
-2.221 3.846 0.000
0.000 0.000 23.691
Sm Te Pb
3 6 3
Cartesian
0.000 0.000 0.000
0.000 2.564 3.603
2.221 1.282 20.088
0.000 0.000 5.457
0.000 0.000 18.234
0.000 2.564 9.720
0.000 2.564 21.877
2.221 1.282 1.814
2.221 1.282 13.971
0.000 0.000 11.845
0.000 2.564 15.877
2.221 1.282 7.813
```

Computed properties:
* formation energy from raw total energies: -0.88 eV/atom
* space group: No. 164

---

[14]
Here is an optimized crystal structure of Sm2Te4Pb from Alexandria via LeMat-Bulk. Energies are from PBE.

Cell and atoms, written as POSCAR:
```
Sm2Te4Pb
1.0
16.949 0.000 0.000
0.000 4.501 0.000
-3.377 0.000 7.059
Sm Te Pb
4 8 2
Cartesian
3.256 0.000 1.575
1.841 2.251 5.485
11.731 2.251 1.575
10.316 0.000 5.485
-1.074 2.251 6.737
0.720 0.000 3.454
4.377 2.251 3.605
6.171 0.000 0.322
7.400 0.000 6.737
9.195 2.251 3.454
12.852 0.000 3.605
14.646 2.251 0.322
-1.689 2.251 3.530
6.786 0.000 3.530
```

Computed properties:
* formation energy from raw total energies: -1.11 eV/atom
* space group: No. 12

---

[15]
Here is an optimized crystal structure of Sm3Te12Pb5 from Alexandria via LeMat-Bulk. Energies are from PBE.

Cell and atoms, written as POSCAR:
```
Sm3Te12Pb5
1.0
-9.187 9.187 9.187
9.187 -9.187 9.187
9.187 9.187 -9.187
Sm Te Pb
12 48 20
Cartesian
4.594 2.297 0.000
9.187 4.594 -2.297
2.297 0.000 4.594
11.484 0.000 4.594
0.000 4.594 2.297
4.594 -2.297 9.187
4.594 11.484 0.000
9.187 4.594 6.891
-2.297 9.187 4.594
6.891 9.187 4.594
0.000 4.594 11.484
4.594 6.891 9.187
2.860 -0.249 1.330
10.921 5.924 -4.842
8.939 -1.330 2.860
14.030 -1.734 3.264
12.047 0.249 1.330
10.921 -3.264 4.842
1.330 2.860 -0.249
12.451 4.345 -1.734
5.924 4.842 -1.734
7.858 2.860 0.249
-0.249 1.330 2.860
4.842 -1.734 5.924
8.939 7.858 -2.860
4.842 1.734 3.264
7.858 -2.860 8.939
5.924 -4.842 10.921
3.264 4.842 1.734
10.517 6.328 0.249
2.860 8.939 -1.330
10.921 3.264 4.345
4.842 10.921 -3.264
8.939 1.330 6.328
1.734 3.264 4.842
2.860 0.249 7.858
6.328 8.939 1.330
7.454 5.924 4.345
0.249 7.858 2.860
4.345 -1.734 12.451
-1.734 5.924 4.842
6.328 0.249 10.517
-1.330 2.860 8.939
5.924 4.345 7.454
3.264 14.030 -1.734
1.330 12.047 0.249
4.345 7.454 5.924
0.249 1.330 12.047
4.345 10.921 3.264
9.436 7.858 6.328
1.330 6.328 8.939
3.264 4.345 10.921
-3.264 4.842 10.921
7.858 6.328 9.436
-1.734 12.451 4.345
-2.860 8.939 7.858
-4.842 10.921 5.924
0.249 10.517 6.328
-1.734 3.264 14.030
6.328 9.436 7.858
0.000 0.000 0.000
4.594 4.594 -4.594
4.594 -4.594 4.594
9.187 0.000 0.000
13.781 2.297 0.000
9.187 -4.594 6.891
6.891 9.187 -4.594
6.891 0.000 4.594
4.594 6.891 0.000
9.187 4.594 2.297
-4.594 4.594 4.594
0.000 9.187 0.000
0.000 0.000 9.187
4.594 4.594 4.594
0.000 4.594 6.891
4.594 2.297 9.187
2.297 9.187 4.594
2.297 0.000 13.781
0.000 13.781 2.297
-4.594 6.891 9.187
```

Computed properties:
* formation energy from raw total energies: -0.54 eV/atom
* space group: No. 230

---

[16]
Here is an optimized crystal structure of Sm4Te3Pb from Alexandria via LeMat-Bulk. Energies are from PBE.

Cell and atoms, written as POSCAR:
```
Sm4Te3Pb
1.0
6.318 0.000 0.000
0.000 6.318 0.000
0.000 0.000 12.665
Sm Te Pb
8 6 2
Cartesian
0.000 0.000 3.124
0.000 0.000 9.541
0.000 3.159 0.000
0.000 3.159 6.333
3.159 0.000 0.000
3.159 0.000 6.333
3.159 3.159 3.209
3.159 3.159 9.457
0.000 0.000 6.333
0.000 3.159 3.166
0.000 3.159 9.499
3.159 0.000 3.166
3.159 0.000 9.499
3.159 3.159 0.000
0.000 0.000 0.000
3.159 3.159 6.333
```

Computed properties:
* formation energy from raw total energies: -1.23 eV/atom
* space group: No. 139
* polymorph energy (0 for the lowest one): 0.000 eV per atom

---

[17]
Here is an optimized crystal structure of SmThTePb from Alexandria via LeMat-Bulk. Energies are from PBE.

Cell and atoms, written as POSCAR:
```
SmThTePb
1.0
7.774 0.000 0.000
0.000 7.774 0.000
0.000 0.000 7.774
Sm Th Te Pb
4 4 4 4
Cartesian
0.000 0.000 0.000
0.000 3.887 3.887
3.887 0.000 3.887
3.887 3.887 0.000
0.000 0.000 3.887
0.000 3.887 0.000
3.887 0.000 0.000
3.887 3.887 3.887
1.944 1.944 5.831
1.944 5.831 1.944
5.831 1.944 1.944
5.831 5.831 5.831
1.944 1.944 1.944
1.944 5.831 5.831
5.831 1.944 5.831
5.831 5.831 1.944
```

Computed properties:
* formation energy from raw total energies: -0.69 eV/atom
* space group: No. 216
* polymorph energy (0 for the lowest one): 0.143 eV per atom

---

[18]
Here is an optimized crystal structure of SmThTePb from Alexandria via LeMat-Bulk. Energies are from PBE.

Cell and atoms, written as POSCAR:
```
SmThTePb
1.0
4.556 0.000 0.000
-2.278 3.945 0.000
0.000 0.000 21.749
Sm Th Te Pb
3 3 3 3
Cartesian
0.000 0.000 0.000
0.000 2.630 14.499
2.278 1.315 7.250
0.000 0.000 10.950
0.000 2.630 3.700
2.278 1.315 18.200
0.000 0.000 16.323
0.000 2.630 9.074
2.278 1.315 1.824
0.000 0.000 5.496
0.000 2.630 19.995
2.278 1.315 12.746
```

Computed properties:
* formation energy from raw total energies: -0.83 eV/atom
* space group: No. 160
* polymorph energy (0 for the lowest one): 0.000 eV per atom

---

[19]
Here is an optimized crystal structure of Sm6Tl2Te3Pb from Alexandria via LeMat-Bulk. Energies are from PBE.

Cell and atoms, written as POSCAR:
```
Sm6Tl2Te3Pb
1.0
10.116 -2.243 0.000
10.116 2.243 0.000
-3.394 0.000 8.288
Sm Tl Te Pb
6 2 3 1
Cartesian
-0.690 0.000 2.086
3.756 0.000 7.173
5.641 0.000 2.997
11.196 0.000 5.291
13.081 0.000 1.115
17.528 0.000 6.202
2.424 0.000 3.399
14.413 0.000 4.889
0.325 0.000 7.304
8.419 0.000 4.144
16.512 0.000 0.984
10.116 0.000 0.000
```

Computed properties:
* formation energy from raw total energies: -0.91 eV/atom
* space group: No. 12